Entry from the Alexandria database: crystalline ErBiRh at its relaxed geometry (PBE).

Properties
- ΔH_f (0 K): -0.514 eV per atom
- DFT total energy: -5.779 eV per atom
- Fermi-level density of states: 2.99 states/eV/cell

Cell and atoms, written as POSCAR:
```
ErBiRh
1.0
-1.8509 1.8509 11.3847
1.8509 -1.8509 11.3847
1.8509 1.8509 -11.3847
Er Bi Rh
2 2 2
Cartesian
0.0000 0.0000 3.8309
0.0000 0.0000 18.9385
0.0000 0.0000 9.6197
0.0000 0.0000 13.1496
0.0000 0.0000 6.6275
0.0000 0.0000 16.1419
```

=====

Entry from the Alexandria database: crystalline ErBiRh at its relaxed geometry (PBE).

Properties
- ΔH_f (0 K): -0.448 eV per atom
- DFT total energy: -5.713 eV per atom
- Fermi-level density of states: 1.78 states/eV/cell

Cell and atoms, written as POSCAR:
```
ErBiRh
1.0
-1.8196 1.8196 5.2238
1.8196 -1.8196 5.2238
1.8196 1.8196 -5.2238
Er Bi Rh
1 1 1
Cartesian
0.0000 0.0000 0.0000
0.0000 0.0000 3.1416
0.0000 0.0000 6.5094
```

=====

Entry from the Alexandria database: crystalline Er5Bi4Rh at its relaxed geometry (PBE).

Properties
- ΔH_f (0 K): -0.711 eV per atom
- DFT total energy: -5.279 eV per atom
- Fermi-level density of states: 0.69 states/eV/cell

Cell and atoms, written as POSCAR:
```
Er5Bi4Rh
1.0
-4.8499 4.8499 3.1263
4.8499 -4.8499 3.1263
4.8499 4.8499 -3.1263
Er Bi Rh
5 4 1
Cartesian
0.0000 0.0000 0.0000
5.7680 2.1711 0.7861
2.1711 3.9317 0.7861
2.6788 0.9181 3.9125
-0.9181 2.6788 3.9125
6.8036 -0.8652 0.7979
2.8962 0.8652 0.7979
-0.8652 2.8962 0.7979
0.8652 6.8036 0.7979
0.0000 0.0000 3.5099
```

=====

Entry from the Alexandria database: crystalline ErBiRh at its relaxed geometry (PBE).

Properties
- ΔH_f (0 K): -0.741 eV per atom
- DFT total energy: -6.006 eV per atom
- Fermi-level density of states: 4.77 states/eV/cell

Cell and atoms, written as POSCAR:
```
ErBiRh
1.0
7.6386 0.0000 0.0000
-3.8193 6.6152 0.0000
0.0000 0.0000 3.9658
Er Bi Rh
3 3 3
Cartesian
-2.2933 3.9722 0.0000
1.5260 2.6430 0.0000
4.5866 0.0000 0.0000
-1.0155 1.7590 1.9829
2.0311 0.0000 1.9829
2.8037 4.8562 1.9829
0.0000 0.0000 0.0000
0.0000 4.4101 1.9829
3.8193 2.2051 1.9829
```

=====

Which of these has the highest Fermi-level density of states? number 4

=====

Which of these has the lowest Fermi-level density of states? Er5Bi4Rh

=====

Among the records above, which one has the lowest ΔH_f (0 K)? number 4